Density functional theory data (PBE-GGA) for a relaxed DyCd8Hg4 crystal.

Output
Its energy of formation is -13 meV per atom. Its spin magnetization is 0.00 μB per atom. The value obtained for the final energy is -1.02 eV/atom.

Structure (CIF):
```
data_DyCd8Hg4
_symmetry_space_group_name_H-M 'P m m 2'
_symmetry_Int_Tables_number 25
_symmetry_space_group_name_Hall 'P 2 -2'
_cell_length_a 4.280
_cell_length_b 4.281
_cell_length_c 17.808
_cell_angle_alpha 90.00
_cell_angle_beta 90.00
_cell_angle_gamma 90.00
loop_
_atom_site_label
_atom_site_fract_x
_atom_site_fract_y
_atom_site_fract_z
Dy1 0.000 0.000 0.000
Cd1 0.000 0.000 0.559
Cd2 0.000 0.000 0.828
Cd3 0.000 0.500 0.135
Cd4 0.000 0.500 0.698
Cd5 0.500 0.000 0.136
Cd6 0.500 0.000 0.418
Cd7 0.500 0.500 0.280
Cd8 0.500 0.500 0.564
Hg1 0.000 0.000 0.275
Hg2 0.000 0.500 0.423
Hg3 0.500 0.000 0.708
Hg4 0.500 0.500 0.929
```